# Dy4InAg2

A relaxed Dy4InAg2 crystal (GGA-PBE, Alexandria).

Properties
Distance to the lowest polymorph of the same formula ... 134 meV/atom
Space group ... R-3m
Calculated formation energy ... -1.68 kcal/mol of atoms

Unit cell a=9.827 b=9.827 c=9.827 alpha=29.45 beta=29.45 gamma=29.45
Fractional coordinates of all 7 atoms:
Dy 0.121 0.121 0.121
Dy 0.294 0.294 0.294
Dy 0.706 0.706 0.706
Dy 0.879 0.879 0.879
In 0.500 0.500 0.500
Ag 0.400 0.400 0.400
Ag 0.600 0.600 0.600